# 1
{
  "formula": "Rb2Te2I",
  "functional": "SCAN",
  "state": "single point on PBEsol structure",
  "lattice": [[-2.225, 2.225, 9.951], [2.225, -2.225, 9.951], [2.225, 2.225, -9.951]],
  "species": ["Rb", "Rb", "Te", "Te", "I"],
  "frac_coords": [[0.103, 0.103, 0.000], [0.897, 0.897, 0.000], [0.250, 0.750, 0.500], [0.750, 0.250, 0.500], [0.500, 0.500, 0.000]],
  "m_tot_mub_per_fu": 0.00,
  "dos_ef_per_ev_cell": 0.9,
  "e_form_raw_ev_per_fu": -5.5
}

=====

# 2
{
  "formula": "ZrNbW3",
  "functional": "SCAN",
  "state": "single point on PBEsol structure",
  "lattice": [[4.660, 0.000, 0.000], [0.000, 4.660, 0.000], [0.000, 0.000, 4.660]],
  "species": ["Zr", "Nb", "W", "W", "W"],
  "frac_coords": [[0.000, 0.000, 0.000], [0.500, 0.500, 0.500], [0.000, 0.000, 0.500], [0.000, 0.500, 0.000], [0.500, 0.000, 0.000]],
  "m_tot_mub_per_fu": 0.00,
  "dos_ef_per_ev_cell": 7.9,
  "delta_e_f_ev_per_atom": 2.5692
}

=====

# 3
{
  "formula": "Hg2SN",
  "functional": "SCAN",
  "state": "single point on PBEsol structure",
  "lattice": [[-2.762, 2.762, 5.369], [2.762, -2.762, 5.369], [2.762, 2.762, -5.369]],
  "species": ["Hg", "Hg", "Hg", "Hg", "S", "S", "N", "N"],
  "frac_coords": [[0.064, 0.625, 0.939], [0.375, 0.314, 0.439], [0.686, 0.125, 0.061], [0.875, 0.936, 0.561], [0.250, 0.750, 0.500], [0.500, 0.500, 0.000], [0.000, 0.000, 0.000], [0.750, 0.250, 0.500]],
  "m_tot_mub_per_fu": 0.00,
  "dos_ef_per_ev_cell": 4.9,
  "e_form_raw_ev_per_fu": 3.0
}

=====

# 4
{
  "formula": "YCr3Br",
  "functional": "SCAN",
  "state": "single point on PBEsol structure",
  "lattice": [[4.561, 0.000, 0.000], [0.000, 4.561, 0.000], [0.000, 0.000, 4.561]],
  "species": ["Y", "Cr", "Cr", "Cr", "Br"],
  "frac_coords": [[0.000, 0.000, 0.000], [0.000, 0.500, 0.500], [0.500, 0.000, 0.500], [0.500, 0.500, 0.000], [0.500, 0.500, 0.500]],
  "m_tot_mub_per_fu": 8.80,
  "dos_ef_per_ev_cell": 5.3,
  "relative_energy_mev_per_atom": 0,
  "e_form_raw_ev_per_fu": 4.0
}